Density functional theory data (GGA-PBE) for an optimized crystal structure of ZnIn3Tc.

Output
Offset from the most stable computed form: 0.5916 eV/atom
Energy of formation from the pure elements: 5.04 eV per formula unit
Symmetry: Pm-3m
DFT total energy: -14.81 eV per cell
Magnetic moment: 0.72 μB per atom

Cell lengths 5.098, 5.098, 5.098 Å; angles 90.00, 90.00, 90.00 degrees
Fractional coordinates of all 5 atoms:
1 Zn 0.000 0.000 0.000
2 Tc 0.500 0.500 0.500
3 In 0.000 0.500 0.000
4 In 0.000 0.000 0.500
5 In 0.500 0.000 0.000